# K2AlIr, optimized geometry, DFT GGA-PBEsol
# **E_form**: 0.648 eV/atom
# **DOS(E_F)**: 2.1 states/eV/cell
data_K2AlIr
_space_group_name_H-M_alt 'P 4/m m m'
_space_group_IT_number 123
_space_group_name_Hall '-P 4 2'
_cell_length_a 3.9537
_cell_length_b 3.9537
_cell_length_c 5.4511
_cell_angle_alpha 90.00
_cell_angle_beta 90.00
_cell_angle_gamma 90.00
loop_
_atom_site_label
_atom_site_type_symbol
_atom_site_fract_x
_atom_site_fract_y
_atom_site_fract_z
K1 K 0.0000 0.5000 0.0000
Al1 Al 0.0000 0.0000 0.5000
Ir1 Ir 0.5000 0.5000 0.5000



# KAlIr2Pd, optimized geometry, DFT GGA-PBEsol
# **E_form**: 0.847 eV/atom
# **DOS(E_F)**: 8.1 states/eV/cell
data_KAlIr2Pd
_space_group_name_H-M_alt 'P 4/m m m'
_space_group_IT_number 123
_space_group_name_Hall '-P 4 2'
_cell_length_a 4.5779
_cell_length_b 4.5779
_cell_length_c 4.6929
_cell_angle_alpha 90.00
_cell_angle_beta 90.00
_cell_angle_gamma 90.00
loop_
_atom_site_label
_atom_site_type_symbol
_atom_site_fract_x
_atom_site_fract_y
_atom_site_fract_z
K1 K 0.0000 0.0000 0.0000
Al1 Al 0.5000 0.5000 0.5000
Ir1 Ir 0.0000 0.5000 0.5000
Pd1 Pd 0.5000 0.5000 0.0000



# KScAlIr2, optimized geometry, DFT GGA-PBEsol
# **E_form**: 1.014 eV/atom
# **DOS(E_F)**: 3.2 states/eV/cell
data_KScAlIr2
_space_group_name_H-M_alt 'P 4/m m m'
_space_group_IT_number 123
_space_group_name_Hall '-P 4 2'
_cell_length_a 4.7710
_cell_length_b 4.7710
_cell_length_c 5.2516
_cell_angle_alpha 90.00
_cell_angle_beta 90.00
_cell_angle_gamma 90.00
loop_
_atom_site_label
_atom_site_type_symbol
_atom_site_fract_x
_atom_site_fract_y
_atom_site_fract_z
K1 K 0.0000 0.0000 0.0000
Sc1 Sc 0.5000 0.5000 0.5000
Al1 Al 0.5000 0.5000 0.0000
Ir1 Ir 0.0000 0.5000 0.5000



# KAl2SnIr, optimized geometry, DFT GGA-PBEsol
# **E_form**: -0.091 eV/atom
# **DOS(E_F)**: 2.4 states/eV/cell
data_KAl2SnIr
_space_group_name_H-M_alt 'P 4/m m m'
_space_group_IT_number 123
_space_group_name_Hall '-P 4 2'
_cell_length_a 4.8018
_cell_length_b 4.8018
_cell_length_c 5.1967
_cell_angle_alpha 90.00
_cell_angle_beta 90.00
_cell_angle_gamma 90.00
loop_
_atom_site_label
_atom_site_type_symbol
_atom_site_fract_x
_atom_site_fract_y
_atom_site_fract_z
K1 K 0.0000 0.0000 0.0000
Al1 Al 0.0000 0.5000 0.5000
Sn1 Sn 0.5000 0.5000 0.0000
Ir1 Ir 0.5000 0.5000 0.5000



Look up the E_form of the first one.
0.648 eV/atom